No. 1
This record from Alexandria via LeMat-Bulk describes LiCa2Ag after structural relaxation. The functional is PBEsol.

CIF file:
```
data_LiCa2Ag
_cell_length_a 7.466
_cell_length_b 7.466
_cell_length_c 7.466
_cell_angle_alpha 90.00
_cell_angle_beta 90.00
_cell_angle_gamma 90.00
_symmetry_space_group_name_H-M 'F m -3 m'
_symmetry_Int_Tables_number 225
_symmetry_space_group_name_Hall '-F 4 2 3'
loop_
_atom_site_label
_atom_site_type_symbol
_atom_site_fract_x
_atom_site_fract_y
_atom_site_fract_z
_atom_site_occupancy
Li1 Li 0.000 0.000 0.000 1
Ca1 Ca 0.250 0.250 0.250 1
Ag1 Ag 0.000 0.000 0.500 1
```

Computed properties:
E (eV per atom): -2.526
Energy of formation from the pure elements (meV/atom): -140
Distance to the lowest polymorph of the same formula (meV per atom): 8
Magnetic moment (μB per cell): 0.0

***

No. 2
This record from Alexandria via LeMat-Bulk describes Li2CaAg2 after structural relaxation. The functional is PBEsol.

CIF file:
```
data_Li2CaAg2
_cell_length_a 7.636
_cell_length_b 7.636
_cell_length_c 3.399
_cell_angle_alpha 90.00
_cell_angle_beta 90.00
_cell_angle_gamma 90.00
_symmetry_space_group_name_H-M 'P 4/m b m'
_symmetry_Int_Tables_number 127
_symmetry_space_group_name_Hall '-P 4 2ab'
loop_
_atom_site_label
_atom_site_type_symbol
_atom_site_fract_x
_atom_site_fract_y
_atom_site_fract_z
_atom_site_occupancy
Li1 Li 0.149 0.351 0.000 1
Ca1 Ca 0.000 0.000 0.500 1
Ag1 Ag 0.134 0.634 0.500 1
```

Computed properties:
E (eV per atom): -2.648
Energy of formation from the pure elements (meV/atom): -110
Distance to the lowest polymorph of the same formula (meV per atom): 16
Magnetic moment (μB per cell): 0.0

***

No. 3
This record from Alexandria via LeMat-Bulk describes LiCaAg after structural relaxation. The functional is PBEsol.

CIF file:
```
data_LiCaAg
_cell_length_a 4.5588
_cell_length_b 4.5588
_cell_length_c 3.8894
_cell_angle_alpha 90.00
_cell_angle_beta 90.00
_cell_angle_gamma 120.00
_symmetry_space_group_name_H-M 'P -6 m 2'
_symmetry_Int_Tables_number 187
_symmetry_space_group_name_Hall 'P -6 2'
loop_
_atom_site_label
_atom_site_type_symbol
_atom_site_fract_x
_atom_site_fract_y
_atom_site_fract_z
_atom_site_occupancy
Li1 Li 0.0000 0.0000 0.0000 1
Ca1 Ca 0.6667 0.3333 0.5000 1
Ag1 Ag 0.3333 0.6667 0.0000 1
```

Computed properties:
E (eV per atom): -2.620
Energy of formation from the pure elements (meV/atom): -149
Distance to the lowest polymorph of the same formula (meV per atom): 9
Magnetic moment (μB per cell): 0.0

***

No. 4
This record from Alexandria via LeMat-Bulk describes LiCa2Ag after structural relaxation. The functional is PBEsol.

CIF file:
```
data_LiCa2Ag
_cell_length_a 5.248
_cell_length_b 5.248
_cell_length_c 3.802
_cell_angle_alpha 90.00
_cell_angle_beta 90.00
_cell_angle_gamma 90.00
_symmetry_space_group_name_H-M 'P 4/m m m'
_symmetry_Int_Tables_number 123
_symmetry_space_group_name_Hall '-P 4 2'
loop_
_atom_site_label
_atom_site_type_symbol
_atom_site_fract_x
_atom_site_fract_y
_atom_site_fract_z
_atom_site_occupancy
Li1 Li 0.000 0.000 0.000 1
Ca1 Ca 0.000 0.500 0.500 1
Ag1 Ag 0.500 0.500 0.000 1
```

Computed properties:
E (eV per atom): -2.516
Energy of formation from the pure elements (meV/atom): -130
Distance to the lowest polymorph of the same formula (meV per atom): 18
Magnetic moment (μB per cell): 0.0

***

No. 5
This record from Alexandria via LeMat-Bulk describes Li2CaAg after structural relaxation. The functional is PBEsol.

CIF file:
```
data_Li2CaAg
_cell_length_a 4.5807
_cell_length_b 4.5807
_cell_length_c 14.9357
_cell_angle_alpha 90.00
_cell_angle_beta 90.00
_cell_angle_gamma 120.00
_symmetry_space_group_name_H-M 'R 3 m'
_symmetry_Int_Tables_number 160
_symmetry_space_group_name_Hall 'R 3 -2"'
loop_
_atom_site_label
_atom_site_type_symbol
_atom_site_fract_x
_atom_site_fract_y
_atom_site_fract_z
_atom_site_occupancy
Li1 Li 0.0000 0.0000 0.0000 1
Li2 Li 0.0000 0.0000 0.2760 1
Ca1 Ca 0.0000 0.0000 0.4822 1
Ag1 Ag 0.0000 0.0000 0.6922 1
```

Computed properties:
E (eV per atom): -2.455
Energy of formation from the pure elements (meV/atom): -111
Distance to the lowest polymorph of the same formula (meV per atom): 6
Magnetic moment (μB per cell): 0.0

***

No. 6
This record from Alexandria via LeMat-Bulk describes Li2CaAg after structural relaxation. The functional is PBEsol.

CIF file:
```
data_Li2CaAg
_cell_length_a 11.009
_cell_length_b 3.611
_cell_length_c 4.920
_cell_angle_alpha 90.00
_cell_angle_beta 115.61
_cell_angle_gamma 90.00
_symmetry_space_group_name_H-M 'C 1 2/m 1'
_symmetry_Int_Tables_number 12
_symmetry_space_group_name_Hall '-C 2y'
loop_
_atom_site_label
_atom_site_type_symbol
_atom_site_fract_x
_atom_site_fract_y
_atom_site_fract_z
_atom_site_occupancy
Li1 Li 0.216 0.000 0.213 1
Ca1 Ca 0.000 0.000 0.500 1
Ag1 Ag 0.000 0.500 0.000 1
```

Computed properties:
E (eV per atom): -2.458
Energy of formation from the pure elements (meV/atom): -114
Distance to the lowest polymorph of the same formula (meV per atom): 3
Magnetic moment (μB per cell): 0.0